# 1
Below is a relaxed RbAsAu2C crystal, with properties calculated at the GGA-PBEsol level.

Calculated values
* calculated formation energy: 3035 meV per atom

Unit cell a=6.0429 b=6.0429 c=6.4697 alpha=90.00 beta=90.00 gamma=90.00
With the nearest neighbours (Å) after each atom.
Fractional positions:
1 Au 0.5000 0.0000 0.0000  2 Rb 3.02
2 Au 0.0000 0.5000 0.0000  2 Rb 3.02
3 As 0.0000 0.0000 0.5000  2 Rb 3.23
4 C 0.5000 0.5000 0.5000  4 As 4.27, 8 Au 4.43
5 Rb 0.0000 0.0000 0.0000  4 Au 3.02, 2 As 3.23

# 2
Below is a relaxed CaAs2Au crystal, with properties calculated at the GGA-PBEsol level.

Calculated values
* calculated formation energy: -377 meV per atom

Unit cell a=4.5427 b=4.5427 c=5.4799 alpha=65.51 beta=65.51 gamma=60.00
With the nearest neighbours (Å) after each atom.
Fractional positions:
1 As 0.2128 0.2128 0.3617  3 Au 2.71, 3 As 2.94
2 As 0.7872 0.7872 0.6383  3 Au 2.71, 3 As 2.94
3 Au 0.5000 0.5000 0.5000  6 As 2.71
4 Ca 0.0000 0.0000 0.0000  8 As 3.07-3.15

# 3
Below is a relaxed Ca2AsAu2 crystal, with properties calculated at the GGA-PBEsol level.

Calculated values
* calculated formation energy: -539 meV per atom

Unit cell a=5.6276 b=5.6128 c=5.6276 alpha=120.09 beta=90.00 gamma=120.09
With the nearest neighbours (Å) after each atom.
Fractional positions:
1 Ca 0.7500 0.5000 0.2500  4 Au 2.90
2 Ca 0.2500 0.5000 0.7500  4 Au 2.90
3 Au 0.3377 0.6755 0.3377  1 Au 2.57, 1 As 2.67
4 Au 0.6623 0.3245 0.6623  1 Au 2.57, 1 As 2.67
5 As 0.0000 0.0000 0.0000  2 Au 2.67

# 4
Below is a relaxed CaAsAu crystal, with properties calculated at the GGA-PBEsol level.

Calculated values
* calculated formation energy: -479 meV per atom

Unit cell a=3.9537 b=3.9537 c=5.0117 alpha=113.23 beta=113.23 gamma=90.00
With the nearest neighbours (Å) after each atom.
Fractional positions:
1 As 0.9908 0.9908 0.9816  1 Au 2.59, 1 Ca 2.82
2 Ca 0.3299 0.3299 0.6598  5 As 2.82-3.10, 5 Au 2.91-3.06
3 Au 0.6793 0.6793 0.3587  1 As 2.59

# 5
Below is a relaxed CaAs2Au crystal, with properties calculated at the GGA-PBEsol level.

Calculated values
* calculated formation energy: -385 meV per atom

Unit cell a=4.5776 b=4.5776 c=9.5929 alpha=103.80 beta=103.80 gamma=90.00
With the nearest neighbours (Å) after each atom.
Fractional positions:
1 Au 0.2500 0.7500 0.5000  4 As 2.61
2 Au 0.0000 0.0000 0.0000  4 As 2.61
3 Ca 0.5000 0.5000 0.0000  4 As 3.02, 4 Au 3.24
4 Ca 0.7500 0.2500 0.5000  4 As 3.02, 4 Au 3.24
5 As 0.2648 0.8750 0.2500  2 Au 2.61, 2 As 2.62
6 As 0.9852 0.3750 0.2500  2 Au 2.61, 2 As 2.62
7 As 0.6250 0.7352 0.7500  2 Au 2.61, 2 As 2.62
8 As 0.1250 0.0148 0.7500  2 Au 2.61, 2 As 2.62

# 6
Below is a relaxed CaAsAu2 crystal, with properties calculated at the GGA-PBEsol level.

Calculated values
* calculated formation energy: -387 meV per atom

Unit cell a=3.5853 b=3.8812 c=5.7041 alpha=90.00 beta=90.00 gamma=90.00
With the nearest neighbours (Å) after each atom.
Fractional positions:
1 Au 0.0000 0.0000 0.2534  2 Au 2.81-2.89, 4 As 2.99, 4 Ca 3.01
2 Au 0.0000 0.0000 0.7466  2 Au 2.81-2.89, 4 As 2.99, 4 Ca 3.01
3 As 0.5000 0.5000 0.5000  2 Ca 2.85, 8 Au 2.99
4 Ca 0.5000 0.5000 0.0000  2 As 2.85, 8 Au 3.01

# 7
Below is a relaxed CaAs2Au crystal, with properties calculated at the GGA-PBEsol level.

Calculated values
* calculated formation energy: -419 meV per atom

Unit cell a=3.7207 b=4.4994 c=5.5570 alpha=113.80 beta=109.56 gamma=90.00
With the nearest neighbours (Å) after each atom.
Fractional positions:
1 As 0.7456 0.2458 0.4912  2 As 2.80, 2 Au 2.86, 4 Ca 2.92
2 As 0.0247 0.0251 0.0494  2 As 2.80, 4 Au 2.95-2.96, 2 Ca 3.13
3 Au 0.4749 0.4742 0.9498  6 As 2.86-2.96, 2 Ca 3.07
4 Ca 0.2548 0.7549 0.5095  8 As 2.92-3.16, 4 Au 3.07-3.24

# 8
Below is a relaxed CaAs2Au crystal, with properties calculated at the GGA-PBEsol level.

Calculated values
* calculated formation energy: -513 meV per atom

Unit cell a=4.0384 b=4.2765 c=5.3358 alpha=98.73 beta=90.00 gamma=90.00
With the nearest neighbours (Å) after each atom.
Fractional positions:
1 Au 0.5000 0.0000 0.5000  4 As 2.57
2 As 0.0000 0.8828 0.7689  1 As 2.52, 2 Au 2.57
3 As 0.0000 0.1172 0.2311  1 As 2.52, 2 Au 2.57
4 Ca 0.5000 0.5000 0.0000  4 As 2.98, 2 Au 3.16

# 9
Below is a relaxed Ca2ZnAsAu crystal, with properties calculated at the GGA-PBEsol level.

Calculated values
* calculated formation energy: -103 meV per atom

Unit cell a=4.5695 b=5.4219 c=5.4219 alpha=90.00 beta=90.00 gamma=90.00
With the nearest neighbours (Å) after each atom.
Fractional positions:
1 Ca 0.0000 0.0000 0.5000  2 Zn 2.71
2 Ca 0.0000 0.5000 0.0000  2 Zn 2.71
3 Au 0.5000 0.0000 0.0000  2 Zn 2.28
4 Zn 0.0000 0.0000 0.0000  2 Au 2.28
5 As 0.5000 0.5000 0.5000  8 Ca 3.55, 4 Au 3.83

# 10
Below is a relaxed CdAsAu3 crystal, with properties calculated at the GGA-PBEsol level.

Calculated values
* calculated formation energy: 416 meV per atom

Unit cell a=4.8575 b=4.8575 c=4.8575 alpha=90.00 beta=90.00 gamma=90.00
With the nearest neighbours (Å) after each atom.
Fractional positions:
1 Au 0.0000 0.0000 0.5000  2 As 2.43
2 Au 0.5000 0.0000 0.0000  2 As 2.43
3 Au 0.0000 0.5000 0.0000  2 As 2.43
4 Cd 0.5000 0.5000 0.5000  12 Au 3.43
5 As 0.0000 0.0000 0.0000  6 Au 2.43

# 11
Below is a relaxed Cd2AsAu crystal, with properties calculated at the GGA-PBEsol level.

Calculated values
* calculated formation energy: 29 meV per atom

Unit cell a=3.1783 b=3.9956 c=6.0151 alpha=90.00 beta=90.00 gamma=90.00
With the nearest neighbours (Å) after each atom.
Fractional positions:
1 As 0.5000 0.5000 0.0000  8 Cd 2.98, 2 Au 3.01, 2 As 3.18
2 Cd 0.0000 0.0000 0.7443  4 Cd 2.94-3.18, 4 Au 2.95, 4 As 2.98
3 Cd 0.0000 0.0000 0.2557  4 Cd 2.94-3.18, 4 Au 2.95, 4 As 2.98
4 Au 0.5000 0.5000 0.5000  8 Cd 2.95, 2 As 3.01, 2 Au 3.18

# 12
Below is a relaxed As2AuCl crystal, with properties calculated at the GGA-PBEsol level.

Calculated values
* E_form (uncorrected): 0.34 eV/atom

Unit cell a=4.6824 b=4.6824 c=4.6824 alpha=60.00 beta=60.00 gamma=60.00
With the nearest neighbours (Å) after each atom.
Fractional positions:
1 Cl 0.7500 0.7500 0.7500  4 Au 2.87, 4 As 2.87
2 As 0.0000 0.0000 0.0000  4 Cl 2.87, 4 As 2.87
3 As 0.2500 0.2500 0.2500  4 Au 2.87, 4 As 2.87
4 Au 0.5000 0.5000 0.5000  4 Cl 2.87, 4 As 2.87

# 13
Below is a relaxed AsAuCl2 crystal, with properties calculated at the GGA-PBEsol level.

Calculated values
* relative energy among the computed polymorphs: 0.3420 eV/atom
* E_form (uncorrected): 0.01 eV/atom

Unit cell a=3.1744 b=4.5782 c=7.0433 alpha=108.97 beta=103.02 gamma=90.00
With the nearest neighbours (Å) after each atom.
Fractional positions:
1 Cl 0.1556 0.1556 0.3112  2 As 2.56
2 Cl 0.8444 0.8444 0.6888  2 As 2.56
3 As 0.5000 0.0000 0.0000  4 Cl 2.56, 4 Au 2.79
4 Au 0.0000 0.5000 0.0000  4 As 2.79, 4 Cl 3.05

# 14
Below is a relaxed AsAuCl2 crystal, with properties calculated at the GGA-PBEsol level.

Calculated values
* relative energy among the computed polymorphs: 0.4071 eV/atom
* E_form (uncorrected): 0.07 eV/atom

Unit cell a=3.1377 b=5.3720 c=5.6649 alpha=118.30 beta=106.08 gamma=90.00
With the nearest neighbours (Å) after each atom.
Fractional positions:
1 Cl 0.2507 0.2507 0.5014  1 As 2.36, 1 Au 2.37
2 Cl 0.7493 0.7493 0.4986  1 As 2.36, 1 Au 2.37
3 As 0.5000 0.5000 0.0000  2 Cl 2.36
4 Au 0.0000 0.0000 0.0000  2 Cl 2.37

# 15
Below is a relaxed AsAuCl2 crystal, with properties calculated at the GGA-PBEsol level.

Calculated values
* relative energy among the computed polymorphs: 0.0000 eV/atom
* E_form (uncorrected): -0.33 eV/atom

Unit cell a=3.5457 b=4.1155 c=7.6584 alpha=101.02 beta=90.00 gamma=115.52
With the nearest neighbours (Å) after each atom.
Fractional positions:
1 Au 0.7378 0.4755 0.2748  2 Cl 2.47, 2 As 2.48
2 As 0.4143 0.8285 0.4629  1 Cl 2.22, 2 Au 2.48
3 Cl 0.0795 0.1590 0.0749  2 Au 2.47
4 Cl 0.2685 0.5369 0.6873  1 As 2.22

# 16
Below is a relaxed AsP2AuCl crystal, with properties calculated at the GGA-PBEsol level.

Calculated values
* E_form (uncorrected): 0.93 eV/atom

Unit cell a=4.6156 b=4.7501 c=4.7501 alpha=90.00 beta=90.00 gamma=90.00
With the nearest neighbours (Å) after each atom.
Fractional positions:
1 P 0.0000 0.0000 0.5000  2 As 2.38
2 P 0.0000 0.5000 0.0000  2 As 2.38
3 As 0.0000 0.0000 0.0000  2 Cl 2.31, 4 P 2.38
4 Au 0.5000 0.5000 0.5000  8 P 3.31, 4 Cl 3.36
5 Cl 0.5000 0.0000 0.0000  2 As 2.31

# 17
Below is a relaxed CoAsAu2 crystal, with properties calculated at the GGA-PBEsol level.

Calculated values
* calculated formation energy: 367 meV per atom

Unit cell a=5.1438 b=5.6851 c=5.6851 alpha=78.19 beta=63.10 gamma=63.10
With the nearest neighbours (Å) after each atom.
Fractional positions:
1 Co 0.5000 0.0000 0.0000  2 As 2.57, 4 Au 2.59
2 Co 0.2500 0.5000 0.5000  2 As 2.57, 4 Au 2.59
3 Au 0.1304 0.9946 0.4946  2 Au 2.57, 2 Co 2.59, 2 As 2.64
4 Au 0.8750 0.5054 0.9946  2 Au 2.57, 2 Co 2.59, 2 As 2.64
5 Au 0.3750 0.4946 0.0054  2 Au 2.57, 2 Co 2.59, 2 As 2.64
6 Au 0.6196 0.0054 0.5054  2 Au 2.57, 2 Co 2.59, 2 As 2.64
7 As 0.7500 0.5000 0.5000  2 Co 2.57, 4 Au 2.64
8 As 0.0000 0.0000 0.0000  2 Co 2.57, 4 Au 2.64

# 18
Below is a relaxed CoAsAu2 crystal, with properties calculated at the GGA-PBEsol level.

Calculated values
* calculated formation energy: 323 meV per atom

Unit cell a=2.8069 b=4.9149 c=4.9149 alpha=112.29 beta=90.00 gamma=90.00
With the nearest neighbours (Å) after each atom.
Fractional positions:
1 As 0.5000 0.5000 0.5000  2 Co 2.74, 2 As 2.81, 8 Au 2.83
2 Au 0.0000 0.0000 0.5000  4 Au 2.74-2.81, 4 As 2.83, 4 Co 2.83
3 Au 0.0000 0.5000 0.0000  4 Au 2.74-2.81, 4 Co 2.83, 4 As 2.83
4 Co 0.5000 0.0000 0.0000  2 As 2.74, 2 Co 2.81, 8 Au 2.83

# 19
Below is a relaxed CoAsAuSe2 crystal, with properties calculated at the GGA-PBEsol level.

Calculated values
* E_form (uncorrected): 1.26 eV/atom

Unit cell a=4.7844 b=5.0477 c=5.0477 alpha=90.00 beta=90.00 gamma=90.00
With the nearest neighbours (Å) after each atom.
Fractional positions:
1 Se 0.0000 0.5000 0.0000  2 Au 2.52
2 Se 0.0000 0.0000 0.5000  2 Au 2.52
3 As 0.5000 0.0000 0.0000  2 Au 2.39
4 Au 0.0000 0.0000 0.0000  2 As 2.39, 4 Se 2.52
5 Co 0.5000 0.5000 0.5000  8 Se 3.48, 4 As 3.57

# 20
Below is a relaxed Cs2As2Au crystal, with properties calculated at the GGA-PBEsol level.

Calculated values
* calculated formation energy: -154 meV per atom

Unit cell a=3.8242 b=3.8242 c=11.1041 alpha=99.92 beta=99.92 gamma=90.00
With the nearest neighbours (Å) after each atom.
Fractional positions:
1 As 0.2500 0.7500 0.5000  4 As 2.70
2 As 0.7500 0.2500 0.5000  4 As 2.70
3 Cs 0.3953 0.3953 0.7907  4 Au 3.52, 4 As 3.67, 4 Cs 3.82
4 Cs 0.6047 0.6047 0.2093  4 Au 3.52, 4 As 3.67, 4 Cs 3.82
5 Au 0.0000 0.0000 0.0000  8 Cs 3.52, 4 Au 3.82

no.,calculated density (Mg/m³)
1,3.98
2,7.47
3,7.27
4,7.97
5,6.79
6,10.65
7,8.11
8,7.05
9,5.16
10,11.27
11,10.80
12,8.74
13,6.05
14,7.13
15,5.78
16,5.89
17,13.26
18,13.97
19,6.66
20,6.46